MgInS2Cl | GGA-PBE | relaxed

As for the uncorrected formation energy: -412 meV/atom. The total magnetization is 0.00 μB/f.u. Its relative energy among the computed polymorphs is 0 meV per atom. Its density is 3.379 g/cm3.

It has space group P4/mmm (No. 123), with a = 4.9379 Å, b = 4.9379 Å, c = 4.8117 Å, α = 90.00°, β = 90.00° and γ = 90.00°. The asymmetric unit holds Mg at (0.0000, 0.0000, 0.0000), In at (0.5000, 0.5000, 0.5000), S at (0.0000, 0.5000, 0.0000) and Cl at (0.0000, 0.0000, 0.5000).